# BaLi2Sm2Sn2

A relaxed BaLi2Sm2Sn2 crystal (PBE, Alexandria via LeMat-Bulk).

Cell and atoms, written as POSCAR:
```
BaLi2Sm2Sn2
1.0
4.9818 0.0000 0.0000
2.4909 4.3144 0.0000
2.4909 1.4381 9.8209
Ba Li Sm Sn
1 2 2 2
direct
0.0000 0.0000 0.0000 Ba
0.5771 0.5771 0.2686 Li
0.4229 0.4229 0.7314 Li
0.1323 0.1323 0.6032 Sm
0.8677 0.8677 0.3968 Sm
0.7504 0.7504 0.7488 Sn
0.2496 0.2496 0.2512 Sn
```

Output
Total DFT energy (no corrections) (eV/atom): -3.8069
Calculated density (Mg/m³): 5.423
Energy of formation (kJ per mole of atoms): -48
V (Å³/f.u.): 211.09
Crystal system: trigonal